# 1
This record from Alexandria describes an optimized crystal structure of SrSiS2Cl. The functional is PBE.

The structure belongs to space group P4/mmm (No. 123); the cell edges are 4.737, 4.737 and 4.830 Å and the angles 90.00°, 90.00° and 90.00°. Symmetry generates all atoms from Sr at (0.000, 0.000, 0.000), Si at (0.500, 0.500, 0.500), S at (0.000, 0.500, 0.500) and Cl at (0.500, 0.500, 0.000).

The calculation puts the energy relative to the elements, uncorrected at -1.042 eV/atom. The total moment is 0.00 μB/f.u. The calculated total energy comes out at -22.418 eV/cell. For the density, the calculation gives 3.3 g/cm³. As for the crystal system: tetragonal.

=====

# 2
This record from Alexandria describes an optimized crystal structure of SrSiSCl2. The functional is PBE.

The structure belongs to space group P4/mmm (No. 123); the cell edges are 4.928, 4.928 and 5.016 Å and the angles 90.00°, 90.00° and 90.00°. Symmetry generates all atoms from Sr at (0.000, 0.000, 0.000), Si at (0.500, 0.500, 0.500), S at (0.500, 0.500, 0.000) and Cl at (0.000, 0.500, 0.500).

The calculation puts the energy relative to the elements, uncorrected at -1.060 eV/atom. The total moment is 0.00 μB/f.u. The calculated total energy comes out at -20.225 eV/cell. For the density, the calculation gives 3.0 g/cm³. As for the crystal system: tetragonal.